A plane-wave DFT calculation with GGA-PBE was carried out for a relaxed structure of BiINO2.

Results
- ΔE_f (raw) (meV/atom) = 629
- DOS(E_F) (states/eV per atom) = 0.8652
- spin magnetization (μB/atom) = 0.051

abc: 4.2076 4.2076 4.6624
angles: 90.00 90.00 90.00
Space group P4/mmm (No. 123)
Asymmetric unit:
Bi1 0.0000 0.0000 0.0000 [1 per cell]
I1 0.5000 0.5000 0.5000 [1 per cell]
N1 0.0000 0.0000 0.5000 [1 per cell]
O1 0.0000 0.5000 0.0000 [2 per cell]

A plane-wave DFT calculation with GGA-PBE was carried out for a relaxed structure of BiINO2.

Results
- ΔE_f (raw) (meV/atom) = 1037
- DOS(E_F) (states/eV per atom) = 0.3946
- spin magnetization (μB/atom) = 0.035

abc: 4.3117 4.3117 4.1518
angles: 90.00 90.00 90.00
Space group P4/mmm (No. 123)
Asymmetric unit:
Bi1 0.0000 0.0000 0.0000 [1 per cell]
I1 0.5000 0.5000 0.0000 [1 per cell]
N1 0.5000 0.5000 0.5000 [1 per cell]
O1 0.0000 0.5000 0.5000 [2 per cell]

A plane-wave DFT calculation with GGA-PBE was carried out for a relaxed structure of BiIN2O.

Results
- ΔE_f (raw) (meV/atom) = 1964
- DOS(E_F) (states/eV per atom) = 1.2741
- spin magnetization (μB/atom) = 0.512

abc: 4.2080 4.2080 6.9775
angles: 90.00 90.00 90.00
Space group P4/mmm (No. 123)
Asymmetric unit:
Bi1 0.0000 0.0000 0.0000 [1 per cell]
I1 0.0000 0.0000 0.5000 [1 per cell]
N1 0.0000 0.5000 0.0000 [2 per cell]
O1 0.5000 0.5000 0.5000 [1 per cell]

A plane-wave DFT calculation with GGA-PBE was carried out for a relaxed structure of BiINO2.

Results
- ΔE_f (raw) (meV/atom) = 612
- DOS(E_F) (states/eV per atom) = 0.4311
- spin magnetization (μB/atom) = 0.000

abc: 4.2676 4.2676 4.2495
angles: 90.00 90.00 90.00
Space group P4/mmm (No. 123)
Asymmetric unit:
Bi1 0.0000 0.0000 0.0000 [1 per cell]
I1 0.5000 0.5000 0.5000 [1 per cell]
N1 0.5000 0.5000 0.0000 [1 per cell]
O1 0.0000 0.5000 0.5000 [2 per cell]

A plane-wave DFT calculation with GGA-PBE was carried out for a relaxed structure of BiINO2.

Results
- ΔE_f (raw) (meV/atom) = 771
- DOS(E_F) (states/eV per atom) = 0.4682
- spin magnetization (μB/atom) = 0.453

abc: 4.1824 4.1824 6.8873
angles: 90.00 90.00 90.00
Space group P4/mmm (No. 123)
Asymmetric unit:
Bi1 0.0000 0.0000 0.0000 [1 per cell]
I1 0.0000 0.0000 0.5000 [1 per cell]
N1 0.5000 0.5000 0.5000 [1 per cell]
O1 0.0000 0.5000 0.0000 [2 per cell]

A plane-wave DFT calculation with GGA-PBE was carried out for a relaxed structure of BiIN2O.

Results
- ΔE_f (raw) (meV/atom) = 1951
- DOS(E_F) (states/eV per atom) = 0.4911
- spin magnetization (μB/atom) = 0.397

abc: 4.4553 4.4553 4.1254
angles: 90.00 90.00 90.00
Space group P4/mmm (No. 123)
Asymmetric unit:
Bi1 0.0000 0.0000 0.0000 [1 per cell]
I1 0.5000 0.5000 0.0000 [1 per cell]
N1 0.0000 0.5000 0.5000 [2 per cell]
O1 0.5000 0.5000 0.5000 [1 per cell]

A plane-wave DFT calculation with GGA-PBE was carried out for a relaxed structure of BiIN2O.

Results
- ΔE_f (raw) (meV/atom) = 1391
- DOS(E_F) (states/eV per atom) = 0.6689
- spin magnetization (μB/atom) = 0.000

abc: 4.4522 4.4522 4.1617
angles: 90.00 90.00 90.00
Space group P4/mmm (No. 123)
Asymmetric unit:
Bi1 0.0000 0.0000 0.0000 [1 per cell]
I1 0.5000 0.5000 0.5000 [1 per cell]
N1 0.0000 0.5000 0.0000 [2 per cell]
O1 0.0000 0.0000 0.5000 [1 per cell]

A plane-wave DFT calculation with GGA-PBE was carried out for a relaxed structure of BiIN2O.

Results
- ΔE_f (raw) (meV/atom) = 1174
- DOS(E_F) (states/eV per atom) = 0.1661
- spin magnetization (μB/atom) = 0.000

abc: 4.2658 4.2658 4.0721
angles: 90.00 90.00 90.00
Space group P4/mmm (No. 123)
Asymmetric unit:
Bi1 0.0000 0.0000 0.0000 [1 per cell]
I1 0.5000 0.5000 0.5000 [1 per cell]
N1 0.0000 0.5000 0.5000 [2 per cell]
O1 0.5000 0.5000 0.0000 [1 per cell]

A plane-wave DFT calculation with GGA-PBE was carried out for a relaxed structure of BiPIN2.

Results
- ΔE_f (raw) (meV/atom) = 1835
- DOS(E_F) (states/eV per atom) = 0.5949
- spin magnetization (μB/atom) = 0.512
- E above lowest polymorph (meV/atom) = 240.5

abc: 4.2699 4.2699 7.4858
angles: 90.00 90.00 90.00
Space group P4/mmm (No. 123)
Asymmetric unit:
Bi1 0.0000 0.0000 0.0000 [1 per cell]
P1 0.5000 0.5000 0.5000 [1 per cell]
I1 0.0000 0.0000 0.5000 [1 per cell]
N1 0.0000 0.5000 0.0000 [2 per cell]

A plane-wave DFT calculation with GGA-PBE was carried out for a relaxed structure of Bi2PIN.

Results
- ΔE_f (raw) (meV/atom) = 2366
- DOS(E_F) (states/eV per atom) = 1.6831
- spin magnetization (μB/atom) = 0.000

abc: 5.9096 5.9096 5.0458
angles: 90.00 90.00 90.00
Space group P4/mmm (No. 123)
Asymmetric unit:
Bi1 0.0000 0.5000 0.0000 [2 per cell]
P1 0.0000 0.0000 0.5000 [1 per cell]
I1 0.0000 0.0000 0.0000 [1 per cell]
N1 0.5000 0.5000 0.5000 [1 per cell]

A plane-wave DFT calculation with GGA-PBE was carried out for a relaxed structure of BiPI2N.

Results
- ΔE_f (raw) (meV/atom) = 1276
- DOS(E_F) (states/eV per atom) = 2.0093
- spin magnetization (μB/atom) = 0.444
- E above lowest polymorph (meV/atom) = 723.0

abc: 6.3483 6.3483 4.2451
angles: 90.00 90.00 90.00
Space group P4/mmm (No. 123)
Asymmetric unit:
Bi1 0.0000 0.0000 0.0000 [1 per cell]
P1 0.5000 0.5000 0.5000 [1 per cell]
I1 0.0000 0.5000 0.0000 [2 per cell]
N1 0.0000 0.0000 0.5000 [1 per cell]

A plane-wave DFT calculation with GGA-PBE was carried out for a relaxed structure of BiPI2N.

Results
- ΔE_f (raw) (meV/atom) = 553
- DOS(E_F) (states/eV per atom) = 0.6716
- spin magnetization (μB/atom) = 0.000
- E above lowest polymorph (meV/atom) = 0.0

abc: 6.3903 6.3903 3.3617
angles: 90.00 90.00 90.00
Space group P4/mmm (No. 123)
Asymmetric unit:
Bi1 0.0000 0.0000 0.0000 [1 per cell]
P1 0.5000 0.5000 0.5000 [1 per cell]
I1 0.0000 0.5000 0.5000 [2 per cell]
N1 0.5000 0.5000 0.0000 [1 per cell]

Number 1: V 82.54 Å³/cell. Number 2: V 77.19 Å³/cell. Number 3: V 123.56 Å³/cell. Number 4: V 77.39 Å³/cell. Number 5: V 120.48 Å³/cell. Number 6: V 81.89 Å³/cell. Number 7: V 82.49 Å³/cell. Number 8: V 74.10 Å³/cell. Number 9: V 136.48 Å³/cell. Number 10: V 176.21 Å³/cell. Number 11: V 171.08 Å³/cell. Number 12: V 137.28 Å³/cell.